## NdMg3Ni (PBE)

Data for a geometry-optimized NdMg3Ni structure.

## Properties
symmetry: No. 38
density: 3.92 g cm⁻³
volume: 117 Å³ per cell
energy of formation from the pure elements: -60.0 meV/atom
distance to the lowest polymorph of the same formula: 115 meV/atom
uncorrected energy: -15.63 eV/cell

Cell lengths 4.559, 4.754, 5.897 Å; angles 113.77, 90.00, 90.00 degrees
Element x y z (fractional)
Mg: 0.000 0.265 0.530
Mg: 0.000 0.537 0.075
Mg: 0.500 0.740 0.481
Ni: 0.500 0.388 0.776
Nd: 0.500 0.029 0.058